[1]
LaPr5Tl3 | GGA-PBE | relaxed

Cell lengths 7.020, 9.748, 9.748 Å; angles 120.00, 90.00, 90.00 degrees
Site moments in Bohr magnetons follow the coordinates.
Positions (direct):
La: 0.000 0.000 0.000  0.24
La: 0.500 0.000 0.000  0.24
Pr: 0.000 0.667 0.333  0.17
Pr: 0.500 0.333 0.667  0.17
Pr: 0.000 0.333 0.667  0.17
Pr: 0.500 0.667 0.333  0.17
Pr: 0.750 0.667 0.667  0.11
Pr: 0.750 0.000 0.333  0.11
Pr: 0.750 0.333 0.000  0.11
Pr: 0.250 0.333 0.333  0.11
Pr: 0.250 0.000 0.667  0.11
Pr: 0.250 0.667 0.000  0.11
Tl: 0.750 0.335 0.335  0.00
Tl: 0.750 0.000 0.665  0.00
Tl: 0.750 0.665 0.000  0.00
Tl: 0.250 0.665 0.665  0.00
Tl: 0.250 0.000 0.335  0.00
Tl: 0.250 0.335 0.000  0.00

Summary:
Total energy = -4.26 eV/atom

[2]
TaCoSb2 | GGA-PBE | relaxed

Cell lengths 4.786, 4.786, 4.786 Å; angles 60.00, 60.00, 60.00 degrees
Positions (direct):
Co: 0.500 0.500 0.500
Sb: 0.000 0.000 0.000
Sb: 0.250 0.250 0.250
Ta: 0.750 0.750 0.750

Summary:
Raw formation energy = 0.656 eV/atom

[3]
Sb2TeHSe | GGA-PBE | relaxed

Cell lengths 5.230, 5.230, 3.999 Å; angles 90.00, 90.00, 90.00 degrees
Positions (direct):
Sb: 0.000 0.500 0.000
Sb: 0.500 0.000 0.000
Te: 0.000 0.000 0.500
Se: 0.500 0.500 0.500
H: 0.000 0.000 0.000

Summary:
Relative energy among the computed polymorphs = 0 meV per atom

[4]
La8PmMg2 | GGA-PBE | relaxed

Cell lengths 5.344, 8.484, 9.360 Å; angles 109.56, 106.59, 90.00 degrees
Positions (direct):
La: 0.597 0.462 0.193
La: 0.314 0.055 0.628
La: 0.143 0.195 0.286
La: 0.049 0.734 0.098
La: 0.857 0.805 0.714
La: 0.686 0.945 0.372
La: 0.403 0.538 0.807
La: 0.951 0.266 0.902
Pm: 0.500 0.000 0.000
Mg: 0.225 0.631 0.451
Mg: 0.775 0.369 0.549

Summary:
Relative energy among the computed polymorphs = 0 meV per atom

[5]
BeZn2Re | GGA-PBE | relaxed

Cell lengths 4.717, 4.717, 4.717 Å; angles 134.75, 134.75, 65.92 degrees
Positions (direct):
Re: 0.750 0.250 0.500
Zn: 0.000 0.000 0.000
Zn: 0.250 0.750 0.500
Be: 0.500 0.500 0.000

Summary:
Total energy = -4.40 eV/atom

[6]
LaNdAgOs | GGA-PBE | relaxed

Cell lengths 5.150, 5.150, 5.150 Å; angles 60.00, 60.00, 60.00 degrees
Positions (direct):
Nd: 0.000 0.000 0.000
Os: 0.750 0.750 0.750
Ag: 0.250 0.250 0.250
La: 0.500 0.500 0.500

Summary:
Total energy = -6.04 eV/atom

[7]
KCrTeCl2 | GGA-PBE | relaxed

Cell lengths 5.493, 6.419, 5.493 Å; angles 90.00, 90.00, 90.00 degrees
Site moments in Bohr magnetons follow the coordinates.
Positions (direct):
Cr: 0.500 0.500 0.500  4.25
K: 0.000 0.000 0.000  -0.02
Te: 0.000 0.500 0.000  -0.75
Cl: 0.000 0.000 0.500  -0.15
Cl: 0.500 0.000 0.000  -0.13

Summary:
Raw formation energy = 0.233 eV/atom

[8]
Be6Ni | GGA-PBE | relaxed

Cell lengths 4.805, 4.805, 4.805 Å; angles 109.47, 109.47, 109.47 degrees
Positions (direct):
Be: 0.250 0.750 0.500
Be: 0.500 0.750 0.250
Be: 0.250 0.500 0.750
Be: 0.750 0.250 0.500
Be: 0.500 0.250 0.750
Be: 0.750 0.500 0.250
Ni: 0.000 0.000 0.000

Summary:
Relative energy among the computed polymorphs = 0 meV per atom

[9]
Ga2CuS | GGA-PBE | relaxed

Cell lengths 4.634, 4.634, 4.634 Å; angles 60.00, 60.00, 60.00 degrees
Positions (direct):
S: 0.000 0.000 0.000
Cu: 0.500 0.500 0.500
Ga: 0.250 0.250 0.250
Ga: 0.750 0.750 0.750

Summary:
Relative energy among the computed polymorphs = 284 meV per atom
Raw formation energy = 0.247 eV/atom

[10]
Dy8Ni2Au | GGA-PBE | relaxed

Cell lengths 5.039, 6.642, 9.159 Å; angles 106.36, 105.97, 90.00 degrees
Positions (direct):
Dy: 0.406 0.529 0.812
Dy: 0.677 0.995 0.354
Dy: 0.799 0.656 0.598
Dy: 0.964 0.217 0.928
Dy: 0.201 0.344 0.402
Dy: 0.323 0.005 0.646
Dy: 0.594 0.471 0.188
Dy: 0.036 0.783 0.072
Ni: 0.822 0.269 0.644
Ni: 0.178 0.731 0.356
Au: 0.500 0.000 0.000

Summary:
Relative energy among the computed polymorphs = 0 meV per atom

[11]
PuMn3Ni2S6 | GGA-PBE | relaxed

Cell lengths 6.141, 6.141, 6.336 Å; angles 99.36, 99.36, 119.82 degrees
Site moments in Bohr magnetons follow the coordinates.
Positions (direct):
Pu: 0.000 0.000 0.000  5.00
Mn: 0.159 0.841 0.500  3.92
Mn: 0.841 0.159 0.500  3.92
Mn: 0.500 0.500 0.500  3.90
Ni: 0.331 0.669 0.000  -0.72
Ni: 0.669 0.331 0.000  -0.72
S: 0.914 0.554 0.749  -0.05
S: 0.726 0.726 0.253  -0.05
S: 0.086 0.446 0.251  -0.05
S: 0.554 0.914 0.749  -0.05
S: 0.274 0.274 0.747  -0.05
S: 0.446 0.086 0.251  -0.05

Summary:
Raw formation energy = -0.613 eV/atom

[12]
Ba2MoIr | GGA-PBE | relaxed

Cell lengths 11.890, 11.890, 8.749 Å; angles 47.20, 47.20, 90.00 degrees
Site moments in Bohr magnetons follow the coordinates.
Positions (direct):
Mo: 0.500 0.500 0.000  2.03
Mo: 0.250 0.750 0.500  2.04
Ir: 0.000 0.000 0.000  0.07
Ir: 0.750 0.250 0.500  0.07
Ba: 0.795 0.125 0.250  0.01
Ba: 0.955 0.625 0.250  0.01
Ba: 0.375 0.205 0.750  0.01
Ba: 0.875 0.045 0.750  0.01

Summary:
Relative energy among the computed polymorphs = 258 meV per atom

[13]
Sr6IrCl2 | GGA-PBE | relaxed

Cell lengths 7.085, 7.836, 12.947 Å; angles 89.97, 90.00, 90.00 degrees
Positions (direct):
Sr: 0.229 0.162 0.663
Sr: 0.230 0.162 0.337
Sr: 0.245 0.202 0.000
Sr: 0.745 0.298 0.500
Sr: 0.730 0.338 0.163
Sr: 0.729 0.338 0.837
Sr: 0.771 0.838 0.337
Sr: 0.770 0.838 0.663
Sr: 0.755 0.798 0.000
Sr: 0.255 0.702 0.500
Sr: 0.270 0.662 0.837
Sr: 0.271 0.662 0.163
Ir: 0.500 0.500 0.000
Ir: 0.000 0.000 0.500
Cl: 0.501 0.000 0.153
Cl: 0.001 0.500 0.347
Cl: 0.999 0.500 0.653
Cl: 0.499 0.000 0.847

Summary:
Raw formation energy = -0.836 eV/atom

[14]
Sr2GaOsW | GGA-PBE | relaxed

Cell lengths 5.691, 4.866, 5.691 Å; angles 90.00, 90.00, 90.00 degrees
Site moments in Bohr magnetons follow the coordinates.
Positions (direct):
Sr: 0.000 0.000 0.500  -0.01
Sr: 0.500 0.000 0.000  -0.01
Os: 0.500 0.500 0.500  2.32
Ga: 0.000 0.500 0.000  -0.02
W: 0.000 0.000 0.000  0.76

Summary:
Total energy = -4.32 eV/atom

[15]
SrScSb3 | GGA-PBE | relaxed

Cell lengths 5.512, 5.512, 5.512 Å; angles 90.00, 90.00, 90.00 degrees
Positions (direct):
Sc: 0.000 0.000 0.000
Sb: 0.000 0.500 0.000
Sb: 0.000 0.000 0.500
Sb: 0.500 0.000 0.000
Sr: 0.500 0.500 0.500

Summary:
Relative energy among the computed polymorphs = 0 meV per atom
Raw formation energy = -0.423 eV/atom

[16]
ScAlCrFe | GGA-PBE | relaxed

Cell lengths 4.359, 4.359, 4.359 Å; angles 60.00, 60.00, 60.00 degrees
Site moments in Bohr magnetons follow the coordinates.
Positions (direct):
Sc: 0.000 0.000 0.000  0.07
Cr: 0.750 0.750 0.750  2.73
Fe: 0.250 0.250 0.250  0.86
Al: 0.500 0.500 0.500  -0.04

Summary:
Total energy = -7.11 eV/atom

[17]
NpGaPt | GGA-PBE | relaxed

Cell lengths 4.602, 4.602, 4.602 Å; angles 60.00, 60.00, 60.00 degrees
Site moments in Bohr magnetons follow the coordinates.
Positions (direct):
Np: 0.500 0.500 0.500  3.82
Ga: 0.000 0.000 0.000  0.07
Pt: 0.250 0.250 0.250  -0.02

Summary:
Total energy = -7.68 eV/atom

[18]
Ga2SbBr2 | GGA-PBE | relaxed

Cell lengths 8.429, 8.429, 3.947 Å; angles 90.00, 90.00, 90.00 degrees
Positions (direct):
Sb: 0.000 0.000 0.000
Sb: 0.500 0.500 0.000
Ga: 0.288 0.788 0.000
Ga: 0.788 0.712 0.000
Ga: 0.712 0.212 0.000
Ga: 0.212 0.288 0.000
Br: 0.135 0.635 0.500
Br: 0.635 0.865 0.500
Br: 0.865 0.365 0.500
Br: 0.365 0.135 0.500

Summary:
Relative energy among the computed polymorphs = 0 meV per atom
Raw formation energy = -0.153 eV/atom

[19]
LiCe3Y3S8 | GGA-PBE | relaxed

Cell lengths 7.862, 7.862, 7.920 Å; angles 119.75, 90.00, 120.00 degrees
Site moments in Bohr magnetons follow the coordinates.
Positions (direct):
Li: 0.000 0.000 0.500  0.00
Ce: 0.000 0.000 0.000  0.76
Ce: 0.000 0.500 0.000  0.76
Ce: 0.500 0.500 0.000  0.76
Y: 0.500 0.000 0.500  0.01
Y: 0.500 0.500 0.500  0.01
Y: 0.000 0.500 0.500  0.01
S: 0.254 0.507 0.261  -0.01
S: 0.746 0.493 0.739  -0.01
S: 0.756 0.512 0.261  -0.01
S: 0.244 0.488 0.739  -0.01
S: 0.756 0.005 0.261  -0.01
S: 0.244 0.995 0.739  -0.01
S: 0.249 0.005 0.261  -0.01
S: 0.751 0.995 0.739  -0.01

Summary:
Raw formation energy = -1.964 eV/atom

[20]
Tl4Ag2BrCl5 | GGA-PBE | relaxed

Cell lengths 7.431, 7.196, 8.738 Å; angles 90.00, 90.00, 121.08 degrees
Positions (direct):
Tl: 0.664 0.000 0.306
Tl: 0.664 0.000 0.694
Tl: 0.381 0.403 0.000
Tl: 0.977 0.597 0.000
Ag: 0.974 0.609 0.500
Ag: 0.365 0.391 0.500
Br: 0.459 0.000 0.000
Cl: 0.114 0.422 0.284
Cl: 0.309 0.000 0.500
Cl: 0.114 0.422 0.716
Cl: 0.693 0.578 0.716
Cl: 0.693 0.578 0.284

Summary:
Raw formation energy = -0.742 eV/atom

[21]
LiPuCu2Br8 | GGA-PBE | relaxed

Cell lengths 7.772, 7.772, 7.772 Å; angles 107.68, 107.68, 113.11 degrees
Site moments in Bohr magnetons follow the coordinates.
Positions (direct):
Li: 0.000 0.000 0.000  0.00
Pu: 0.250 0.750 0.500  4.77
Cu: 0.750 0.250 0.500  -0.41
Cu: 0.500 0.500 0.000  -0.31
Br: 0.364 0.050 0.314  -0.13
Br: 0.311 0.504 0.193  -0.11
Br: 0.311 0.118 0.807  -0.11
Br: 0.735 0.050 0.686  -0.13
Br: 0.882 0.689 0.193  -0.11
Br: 0.950 0.265 0.314  -0.13
Br: 0.950 0.636 0.686  -0.13
Br: 0.496 0.689 0.807  -0.11

Summary:
Raw formation energy = -0.822 eV/atom

[22]
Ca3Nd2TmTe6 | GGA-PBE | relaxed

Cell lengths 7.680, 7.680, 7.822 Å; angles 99.46, 99.46, 119.90 degrees
Positions (direct):
Ca: 0.171 0.829 0.500
Ca: 0.829 0.171 0.500
Ca: 0.500 0.500 0.500
Nd: 0.335 0.665 0.000
Nd: 0.665 0.335 0.000
Tm: 0.000 0.000 0.000
Te: 0.917 0.594 0.751
Te: 0.762 0.762 0.252
Te: 0.083 0.406 0.249
Te: 0.594 0.917 0.751
Te: 0.238 0.238 0.748
Te: 0.406 0.083 0.249

Summary:
Raw formation energy = -1.476 eV/atom

[23]
SmTmGePt | GGA-PBE | relaxed

Cell lengths 5.031, 5.031, 5.031 Å; angles 60.00, 60.00, 60.00 degrees
Positions (direct):
Ge: 0.250 0.250 0.250
Tm: 0.000 0.000 0.000
Sm: 0.500 0.500 0.500
Pt: 0.750 0.750 0.750

Summary:
Relative energy among the computed polymorphs = 130 meV per atom

[24]
CsLaTeH2 | GGA-PBE | relaxed

Cell lengths 4.170, 4.170, 15.329 Å; angles 90.00, 90.00, 90.00 degrees
Positions (direct):
Cs: 0.000 0.000 0.678
Cs: 0.500 0.500 0.178
La: 0.000 0.000 0.401
La: 0.500 0.500 0.901
Te: 0.000 0.000 0.003
Te: 0.500 0.500 0.503
H: 0.000 0.500 0.821
H: 0.500 0.000 0.821
H: 0.500 0.000 0.321
H: 0.000 0.500 0.321

Summary:
Relative energy among the computed polymorphs = 0 meV per atom